No. 1
Entry from Alexandria: a geometry-optimized Mn2ReN structure (PBE-GGA).

Output
Energy = -9.390 eV/atom

Unit cell a=4.941 b=4.941 c=5.515 alpha=63.39 beta=63.39 gamma=90.00
Fractional coordinates of all 8 atoms:
N  0.500  0.500  0.000
N  0.250  0.750  0.500
Mn  0.375  0.464  0.750
Mn  0.536  0.125  0.250
Mn  0.875  0.786  0.750
Mn  0.214  0.625  0.250
Re  0.750  0.250  0.500
Re  0.000  0.000  0.000


No. 2
Entry from Alexandria: a geometry-optimized MnReN structure (PBE-GGA).

Output
Energy = -9.890 eV/atom

Unit cell a=5.346 b=5.948 c=5.346 alpha=68.77 beta=78.81 gamma=111.23
Fractional coordinates of all 12 atoms:
N  0.522  0.063  0.795
N  0.142  0.937  0.541
N  0.709  0.437  0.108
N  0.455  0.563  0.728
Mn  0.120  0.748  0.949
Mn  0.622  0.752  0.947
Mn  0.301  0.248  0.130
Mn  0.303  0.252  0.628
Re  0.867  0.308  0.425
Re  0.810  0.192  0.982
Re  0.268  0.692  0.440
Re  0.825  0.808  0.383